First-principles (PBE) data for crystalline PdW2IN at its relaxed geometry, as listed in the Alexandria database.

Its space-group type is No. 123. As for the crystal system: tetragonal. As for the energy relative to the elements, uncorrected: 2.7888 eV per atom.

Geometry as POSCAR:
```
PdW2IN
1.0
-1.754 -3.874 2.660
-1.258 -1.692 -3.294
4.413 -2.333 -0.488
W N Pd I
2 1 1 1
Direct
0.500 0.000 0.000 W
0.000 0.000 0.500 W
0.000 0.500 0.000 N
0.500 0.500 0.500 Pd
0.000 0.000 0.000 I
```

First-principles (PBE) data for crystalline Cs2HoCd2O4 at its relaxed geometry, as listed in the Alexandria database.

Its space-group type is No. 12. As for the crystal system: monoclinic. As for the energy relative to the elements, uncorrected: -1.6127 eV per atom.

Geometry as POSCAR:
```
Cs2HoCd2O4
1.0
3.547 0.000 0.000
-1.774 7.773 -0.756
0.000 -3.392 7.403
Cs O Cd Ho
2 4 2 1
Direct
0.871 0.742 0.496 Cs
0.129 0.258 0.504 Cs
0.173 0.346 0.189 O
0.486 0.973 0.169 O
0.514 0.027 0.831 O
0.827 0.654 0.811 O
0.679 0.358 0.022 Cd
0.321 0.642 0.978 Cd
0.000 0.000 0.000 Ho
```

First-principles (PBE) data for crystalline RbNaSrCl4 at its relaxed geometry, as listed in the Alexandria database.

Its space-group type is No. 11. As for the crystal system: monoclinic. As for the energy relative to the elements, uncorrected: -2.0837 eV per atom.

Geometry as POSCAR:
```
RbNaSrCl4
1.0
-6.181 -3.137 3.062
4.258 -4.405 4.082
4.671 8.142 3.914
Cl Sr Na Rb
8 2 2 2
Direct
0.088 0.004 0.709 Cl
0.393 0.750 0.158 Cl
0.912 0.504 0.291 Cl
0.912 0.996 0.291 Cl
0.607 0.250 0.842 Cl
0.533 0.750 0.591 Cl
0.467 0.250 0.409 Cl
0.088 0.496 0.709 Cl
0.792 0.750 0.460 Sr
0.208 0.250 0.540 Sr
0.813 0.250 0.702 Na
0.187 0.750 0.298 Na
0.455 0.250 0.087 Rb
0.545 0.750 0.913 Rb
```

First-principles (PBE) data for crystalline Zn3Ru4 at its relaxed geometry, as listed in the Alexandria database.

Its space-group type is No. 139. As for the crystal system: tetragonal. Its relative energy among the computed polymorphs is 0 meV per atom.

Geometry as POSCAR:
```
Zn3Ru4
1.0
-0.571 -2.266 -1.557
9.099 -5.326 6.948
-1.683 -0.970 2.028
Ru Zn
4 3
Direct
0.859 0.717 0.141 Ru
0.141 0.283 0.859 Ru
0.574 0.148 0.426 Ru
0.426 0.852 0.574 Ru
0.287 0.574 0.713 Zn
0.713 0.426 0.287 Zn
0.000 0.000 0.000 Zn
```

First-principles (PBE) data for crystalline AcLa12Pm7 at its relaxed geometry, as listed in the Alexandria database.

Its space-group type is No. 148. As for the crystal system: trigonal. Its relative energy among the computed polymorphs is 0 meV per atom.

Geometry as POSCAR:
```
AcLa12Pm7
1.0
-4.364 -7.851 -0.408
3.081 -2.188 8.159
-7.230 3.770 3.791
La Pm Ac
12 7 1
Direct
0.372 0.856 0.508 La
0.866 0.277 0.718 La
0.508 0.372 0.856 La
0.723 0.282 0.134 La
0.856 0.508 0.372 La
0.144 0.492 0.628 La
0.282 0.134 0.723 La
0.718 0.866 0.277 La
0.492 0.628 0.144 La
0.134 0.723 0.282 La
0.628 0.144 0.492 La
0.277 0.718 0.866 La
0.385 0.063 0.155 Pm
0.063 0.155 0.385 Pm
0.937 0.845 0.615 Pm
0.845 0.615 0.937 Pm
0.615 0.937 0.845 Pm
0.155 0.385 0.063 Pm
0.500 0.500 0.500 Pm
0.000 0.000 0.000 Ac
```

First-principles (PBE) data for crystalline PuH8Pt2Rh at its relaxed geometry, as listed in the Alexandria database.

Its space-group type is No. 164. As for the crystal system: trigonal. For the raw total energy, the calculation gives -5.10 eV/atom.

Geometry as POSCAR:
```
PuH8Pt2Rh
1.0
4.986 0.000 0.000
-2.493 4.318 0.000
0.000 0.000 5.712
Pu H Pt Rh
1 8 2 1
Direct
0.000 0.000 0.500 Pu
0.355 0.178 0.151 H
0.333 0.667 0.359 H
0.822 0.178 0.151 H
0.822 0.645 0.151 H
0.178 0.822 0.849 H
0.178 0.355 0.849 H
0.667 0.333 0.641 H
0.645 0.822 0.849 H
0.333 0.667 0.644 Pt
0.667 0.333 0.356 Pt
0.000 0.000 0.000 Rh
```

Computed volume (Å³/cell) in order:
98.39 195.01 473.62 98.33 726.98 122.97